Record 1
DFT (PBE) results for an optimized crystal structure of Th5SbAs4.

Summary:
For the total magnetic moment, the calculation gives 0.00 μB per formula unit. Its total DFT energy (no corrections) is -72.7 eV per formula unit. The value obtained for the density is 9321 kg/m³. The energy relative to the elements, uncorrected comes out at -124.11 kJ/mol of atoms.

a b c (Å): 14.2862 4.2972 10.5555
angles (deg): 90.00 119.59 90.00
Space group C2/m (No. 12)
One atom of each set of equivalent atoms:
Th 0.0000 0.0000 0.0000 x2
Th 0.1081 0.5000 0.3931 x4
Th 0.2052 0.0000 0.8117 x4
Sb 0.0000 0.0000 0.5000 x2
As 0.0959 0.5000 0.8962 x4
As 0.2036 0.0000 0.2961 x4

---

Record 2
DFT (PBE) results for an optimized crystal structure of Tb5HoEr8.

Summary:
For the total magnetic moment, the calculation gives 0.00 μB per formula unit. Its total DFT energy (no corrections) is -60.7 eV per formula unit. As for the formation enthalpy at 0 K: 0.2535 eV per atom. The value obtained for the density is 8526 kg/m³.

a b c (Å): 9.4735 9.4735 9.9717
angles (deg): 90.00 90.00 90.00
Space group I-4 (No. 82)
One atom of each set of equivalent atoms:
Tb 0.0000 0.0000 0.0000 x2
Tb 0.1112 0.2124 0.5771 x8
Ho 0.0000 0.5000 0.2500 x2
Er 0.0708 0.3243 0.9057 x8
Er 0.0881 0.1736 0.2479 x8